A plane-wave DFT calculation with PBE was carried out for ErReNO after structural relaxation.

Cell lengths 3.4011, 3.4011, 4.2545 Å; angles 90.00, 90.00, 90.00 degrees
Space group P4/mmm (No. 123)
Symmetry-distinct sites (fractional):
Er 0.0000 0.0000 0.0000 [1 per cell]
Re 0.5000 0.5000 0.5000 [1 per cell]
N 0.5000 0.5000 0.0000 [1 per cell]
O 0.0000 0.0000 0.5000 [1 per cell]

## Properties
DFT total energy in eV/atom: -8.35
Crystal system: tetragonal
Calculated volume in Å³/f.u.: 49.2
Total magnetic moment in μB per cell: 0.18